No. 1
## Nd2HgAu5 (PBE)

Data for a relaxed Nd2HgAu5 crystal.

Formation energy: -60.1 kJ/mol of atoms
SG: Amm2 (38)
Spin magnetization: 0.0 Bohr magnetons per cell

The structure in POSCAR format:
```
Nd2HgAu5
1.0
4.828 0.000 0.000
0.000 3.311 5.615
0.000 -3.311 5.615
Nd Hg Au
2 1 5
Direct
0.000 0.000 0.000
0.500 0.323 0.323
0.000 0.510 0.510
0.000 0.514 0.980
0.000 0.980 0.514
0.500 0.352 0.822
0.500 0.820 0.820
0.500 0.822 0.352
```

---

No. 2
## LiCu5Sn2 (PBE)

Data for a relaxed LiCu5Sn2 crystal.

SG: P4/mmm (123)

The structure in POSCAR format:
```
LiCu5Sn2
1.0
4.357 0.000 0.000
0.000 4.357 0.000
0.000 0.000 6.165
Li Cu Sn
1 5 2
Direct
0.000 0.000 0.000
0.000 0.500 0.250
0.000 0.500 0.750
0.500 0.000 0.250
0.500 0.000 0.750
0.500 0.500 0.500
0.000 0.000 0.500
0.500 0.500 0.000
```

---

no.,calculated total energy (eV per atom)
1,-3.892
2,-3.617